The following is a GGA+U calculation of crystalline MnOF at its relaxed geometry, from Alexandria via LeMat-Bulk.

a b c (Å): 4.773 3.002 18.974
angles (deg): 90.00 91.57 90.00
Atoms (fractional coordinates):
Mn1 0.000 0.000 0.000
Mn2 0.000 0.000 0.500
Mn3 0.139 0.000 0.247
Mn4 0.429 0.500 0.878
Mn5 0.440 0.500 0.624
Mn6 0.560 0.500 0.376
Mn7 0.571 0.500 0.122
Mn8 0.861 0.000 0.753
O1 0.175 0.500 0.548
O2 0.259 0.000 0.927
O3 0.288 0.500 0.300
O4 0.395 0.000 0.165
O5 0.605 0.000 0.835
O6 0.712 0.500 0.700
O7 0.741 0.000 0.073
O8 0.825 0.500 0.452
F1 0.111 0.500 0.800
F2 0.211 0.500 0.045
F3 0.239 0.000 0.671
F4 0.353 0.000 0.421
F5 0.647 0.000 0.579
F6 0.761 0.000 0.329
F7 0.789 0.500 0.955
F8 0.889 0.500 0.200

* DOS at the Fermi energy: 0.097 states/eV/atom
* total energy: -0.231 hartree per atom